P.
{
  "formula": "TbTcOs",
  "functional": "PBE",
  "state": "relaxed",
  "spacegroup": "No. 38",
  "vol_a3_per_fu": 55,
  "lattice_angstrom": [[-1.097, 3.225, -4.205], [3.866, -3.776, -0.294], [-5.927, -5.840, -2.933]],
  "species": ["Os", "Os", "Os", "Os", "Tc", "Tc", "Tc", "Tc", "Tb", "Tb", "Tb", "Tb"],
  "frac_coords": [[0.827, 0.173, 0.000], [0.174, 0.826, 0.500], [0.342, 0.169, 0.000], [0.831, 0.658, 0.000], [0.660, 0.829, 0.500], [0.998, 0.002, 0.752], [0.171, 0.340, 0.500], [0.998, 0.002, 0.248], [0.665, 0.335, 0.314], [0.665, 0.335, 0.686], [0.334, 0.666, 0.182], [0.334, 0.666, 0.818]]
}

Q.
{
  "formula": "TbTcOs",
  "functional": "PBE",
  "state": "relaxed",
  "spacegroup": "No. 12",
  "vol_a3_per_fu": 59,
  "lattice_angstrom": [[-1.642, -3.645, 1.793], [3.499, -4.310, -0.204], [1.408, -0.571, 5.482]],
  "species": ["Os", "Os", "Tc", "Tc", "Tb", "Tb"],
  "frac_coords": [[0.334, 0.600, 0.731], [0.666, 0.400, 0.269], [0.661, 0.750, 0.928], [0.339, 0.250, 0.072], [0.066, 0.185, 0.684], [0.934, 0.815, 0.316]]
}

Going by the computed energies, the most stable comes first: P, Q.

P.
{
  "formula": "Tb4TeOs",
  "functional": "PBE",
  "state": "relaxed",
  "spacegroup": "No. 62",
  "vol_a3_per_fu": 161,
  "lattice_angstrom": [[-1.337, 3.330, -1.916], [-5.044, 1.523, 6.166], [13.896, 10.615, 8.746]],
  "species": ["Tb", "Tb", "Tb", "Tb", "Tb", "Tb", "Tb", "Tb", "Tb", "Tb", "Tb", "Tb", "Tb", "Tb", "Tb", "Tb", "Os", "Os", "Os", "Os", "Te", "Te", "Te", "Te"],
  "frac_coords": [[0.250, 0.639, 0.143], [0.750, 0.360, 0.046], [0.750, 0.860, 0.454], [0.750, 0.361, 0.857], [0.750, 0.954, 0.214], [0.250, 0.640, 0.954], [0.750, 0.861, 0.643], [0.750, 0.454, 0.286], [0.250, 0.139, 0.357], [0.250, 0.499, 0.433], [0.250, 0.546, 0.714], [0.750, 0.501, 0.567], [0.750, 0.001, 0.933], [0.250, 0.140, 0.546], [0.250, 0.046, 0.786], [0.250, 0.999, 0.067], [0.250, 0.754, 0.550], [0.750, 0.746, 0.050], [0.750, 0.246, 0.450], [0.250, 0.254, 0.950], [0.250, 0.256, 0.192], [0.250, 0.756, 0.308], [0.750, 0.244, 0.692], [0.750, 0.744, 0.808]]
}

Q.
{
  "formula": "Tb4TeOs",
  "functional": "PBE",
  "state": "relaxed",
  "spacegroup": "No. 12",
  "vol_a3_per_fu": 221,
  "lattice_angstrom": [[-1.412, 0.028, -5.232], [6.478, -8.530, 1.013], [-9.278, 0.040, 2.504]],
  "species": ["Tb", "Tb", "Tb", "Tb", "Tb", "Tb", "Tb", "Tb", "Te", "Te", "Os", "Os"],
  "frac_coords": [[0.398, 0.795, 0.332], [0.602, 0.205, 0.668], [0.023, 0.046, 0.303], [0.195, 0.389, 0.987], [0.977, 0.954, 0.697], [0.762, 0.525, 0.331], [0.805, 0.611, 0.013], [0.238, 0.475, 0.669], [0.168, 0.337, 0.276], [0.832, 0.663, 0.724], [0.096, 0.191, 0.640], [0.904, 0.809, 0.360]]
}

Going by the computed energies, the most stable comes first: P, Q.

P.
{
  "formula": "TbTh2Os",
  "functional": "PBE",
  "state": "relaxed",
  "spacegroup": "No. 166",
  "vol_a3_per_fu": 137,
  "lattice_angstrom": [[-1.543, 2.452, -2.644], [-1.937, -1.424, -3.100], [-9.917, 0.603, 3.438]],
  "species": ["Tb", "Th", "Th", "Os"],
  "frac_coords": [[0.000, 0.000, 0.000], [0.887, 0.887, 0.340], [0.113, 0.113, 0.660], [0.500, 0.500, 0.500]]
}

Q.
{
  "formula": "TbTh2Os",
  "functional": "PBE",
  "state": "relaxed",
  "spacegroup": "No. 123",
  "vol_a3_per_fu": 110,
  "lattice_angstrom": [[-2.852, -1.364, 1.828], [2.230, -2.281, 1.778], [1.077, 5.652, 5.898]],
  "species": ["Th", "Th", "Os", "Tb"],
  "frac_coords": [[0.000, 0.000, 0.200], [0.000, 0.000, 0.800], [0.500, 0.500, 0.000], [0.500, 0.500, 0.500]]
}

R.
{
  "formula": "TbTh2Os",
  "functional": "PBE",
  "state": "relaxed",
  "spacegroup": "No. 62",
  "vol_a3_per_fu": 113,
  "lattice_angstrom": [[-2.947, 3.273, -4.541], [-6.329, -3.062, 1.900], [-1.640, 7.327, 6.345]],
  "species": ["Tb", "Tb", "Tb", "Tb", "Th", "Th", "Th", "Th", "Th", "Th", "Th", "Th", "Os", "Os", "Os", "Os"],
  "frac_coords": [[0.145, 0.962, 0.750], [0.855, 0.038, 0.250], [0.355, 0.462, 0.750], [0.645, 0.538, 0.250], [0.667, 0.829, 0.562], [0.167, 0.671, 0.438], [0.333, 0.171, 0.062], [0.167, 0.671, 0.062], [0.667, 0.829, 0.938], [0.833, 0.329, 0.938], [0.333, 0.171, 0.438], [0.833, 0.329, 0.562], [0.593, 0.118, 0.750], [0.907, 0.618, 0.750], [0.093, 0.382, 0.250], [0.407, 0.882, 0.250]]
}

Going by the computed energies, the most stable comes first: R, Q, P.

P.
{
  "formula": "TbThOs",
  "functional": "PBE",
  "state": "relaxed",
  "spacegroup": "No. 216",
  "vol_a3_per_fu": 82,
  "lattice_angstrom": [[4.879, 0.000, 0.000], [2.439, 4.225, 0.000], [2.439, 1.408, 3.983]],
  "species": ["Tb", "Th", "Os"],
  "frac_coords": [[0.000, 0.000, 0.000], [0.500, 0.500, 0.500], [0.250, 0.250, 0.250]]
}

Q.
{
  "formula": "TbThOs",
  "functional": "PBE",
  "state": "relaxed",
  "spacegroup": "No. 107",
  "vol_a3_per_fu": 79,
  "lattice_angstrom": [[-0.249, 2.362, 2.463], [-3.405, -0.331, -0.027], [2.262, -5.883, 3.495]],
  "species": ["Os", "Th", "Tb"],
  "frac_coords": [[0.667, 0.667, 0.335], [0.295, 0.295, 0.591], [0.037, 0.037, 0.075]]
}

R.
{
  "formula": "TbThOs",
  "functional": "PBE",
  "state": "relaxed",
  "spacegroup": "No. 38",
  "vol_a3_per_fu": 76,
  "lattice_angstrom": [[7.529, 0.000, 0.000], [0.000, 9.522, 0.001], [-3.765, -4.760, 6.396]],
  "species": ["Os", "Os", "Os", "Os", "Os", "Os", "Th", "Th", "Th", "Th", "Th", "Th", "Tb", "Tb", "Tb", "Tb", "Tb", "Tb"],
  "frac_coords": [[0.094, 0.837, 0.674], [0.750, 0.750, 0.000], [0.094, 0.337, 0.674], [0.420, 0.663, 0.326], [0.420, 0.163, 0.326], [0.750, 0.250, 0.000], [0.015, 0.000, 0.000], [0.488, 0.365, 0.729], [0.015, 0.500, 0.000], [0.488, 0.864, 0.729], [0.758, 0.136, 0.271], [0.758, 0.635, 0.271], [0.343, 0.750, 0.000], [0.750, 0.544, 0.588], [0.343, 0.250, 0.000], [0.750, 0.044, 0.588], [0.162, 0.456, 0.412], [0.162, 0.956, 0.412]]
}

S.
{
  "formula": "TbThOs",
  "functional": "PBE",
  "state": "relaxed",
  "spacegroup": "No. 11",
  "vol_a3_per_fu": 85,
  "lattice_angstrom": [[-4.113, 1.741, -0.260], [-1.407, -3.861, -3.604], [-1.186, -1.678, 7.518]],
  "species": ["Os", "Os", "Tb", "Tb", "Th", "Th"],
  "frac_coords": [[0.750, 0.108, 0.796], [0.250, 0.892, 0.204], [0.750, 0.186, 0.438], [0.250, 0.814, 0.562], [0.250, 0.295, 0.063], [0.750, 0.705, 0.937]]
}

Going by the computed energies, the most stable comes first: S, R, P, Q.

P.
{
  "formula": "Tb2ThOs2",
  "functional": "PBE",
  "state": "relaxed",
  "spacegroup": "No. 11",
  "vol_a3_per_fu": 129,
  "lattice_angstrom": [[-2.706, -2.054, 2.798], [4.177, -0.319, 3.805], [-6.690, 9.450, 0.468]],
  "species": ["Os", "Os", "Os", "Os", "Tb", "Tb", "Tb", "Tb", "Th", "Th"],
  "frac_coords": [[0.750, 0.091, 0.349], [0.250, 0.909, 0.651], [0.750, 0.675, 0.021], [0.250, 0.325, 0.979], [0.750, 0.232, 0.123], [0.250, 0.768, 0.877], [0.250, 0.286, 0.531], [0.750, 0.714, 0.469], [0.250, 0.816, 0.201], [0.750, 0.184, 0.799]]
}

Q.
{
  "formula": "Tb2ThOs2",
  "functional": "PBE",
  "state": "relaxed",
  "spacegroup": "No. 71",
  "vol_a3_per_fu": 119,
  "lattice_angstrom": [[-3.054, 0.337, -3.140], [-5.370, -1.305, 2.004], [-3.792, 4.362, 1.077]],
  "species": ["Tb", "Tb", "Th", "Os", "Os"],
  "frac_coords": [[0.695, 0.804, 0.304], [0.305, 0.196, 0.696], [0.500, 0.500, 0.000], [0.000, 0.780, 0.720], [0.000, 0.220, 0.280]]
}

Going by the computed energies, the most stable comes first: Q, P.

P.
{
  "formula": "Tb2TlOs",
  "functional": "PBE",
  "state": "relaxed",
  "spacegroup": "No. 47",
  "vol_a3_per_fu": 98,
  "lattice_angstrom": [[-2.783, 1.321, 1.549], [-2.262, -6.305, 1.314], [4.055, 0.054, 7.238]],
  "species": ["Tl", "Tl", "Tb", "Tb", "Tb", "Tb", "Os", "Os"],
  "frac_coords": [[0.000, 0.750, 0.500], [0.000, 0.250, 0.500], [0.500, 0.500, 0.798], [0.500, 0.500, 0.202], [0.500, 0.000, 0.798], [0.500, 0.000, 0.202], [0.000, 0.250, 0.000], [0.000, 0.750, 0.000]]
}

Q.
{
  "formula": "Tb2TlOs",
  "functional": "PBE",
  "state": "relaxed",
  "spacegroup": "No. 225",
  "vol_a3_per_fu": 93,
  "lattice_angstrom": [[-4.730, -0.719, -1.731], [-3.156, -3.146, 2.454], [-3.964, 1.876, 2.578]],
  "species": ["Tb", "Tb", "Tl", "Os"],
  "frac_coords": [[0.250, 0.250, 0.250], [0.750, 0.750, 0.750], [0.500, 0.500, 0.500], [0.000, 0.000, 0.000]]
}

R.
{
  "formula": "Tb2TlOs",
  "functional": "PBE",
  "state": "relaxed",
  "spacegroup": "No. 166",
  "vol_a3_per_fu": 130,
  "lattice_angstrom": [[3.928, 0.000, 0.000], [1.964, 3.402, 0.000], [1.964, 1.134, 9.764]],
  "species": ["Tb", "Tb", "Os", "Tl"],
  "frac_coords": [[0.114, 0.114, 0.658], [0.886, 0.886, 0.342], [0.500, 0.500, 0.500], [0.000, 0.000, 0.000]]
}

Going by the computed energies, the most stable comes first: P, Q, R.